Ho2Ga5Os after structural relaxation, computed with PBE.

Cell lengths 6.0225, 6.0225, 6.0225 Å; angles 92.19, 118.74, 118.74 degrees
Closest atoms and distances in Å follow each position.
Sites, in units of the cell vectors:
Ho 0.5000 0.7538 0.2538  10 Ga 3.00-3.07
Ho 0.5000 0.2538 0.7538  10 Ga 3.00-3.07
Ga 0.4240 0.7108 0.7108  1 Os 2.52, 3 Ga 2.60-2.74
Ga 0.0000 0.2561 0.2561  1 Os 2.45, 4 Ga 2.74
Ga 0.0000 0.7108 0.2869  1 Os 2.52, 3 Ga 2.60-2.74
Ga 0.0000 0.2869 0.7108  1 Os 2.52, 3 Ga 2.60-2.74
Ga 0.5760 0.2869 0.2869  1 Os 2.52, 3 Ga 2.60-2.74
Os 0.0000 0.9630 0.9630  5 Ga 2.45-2.52

Properties
- N(E_F): 3.921 states/eV per cell
- Total moment: 0.00 μB per formula unit
- Energy of formation from the pure elements: -2.7 eV per formula unit
- Uncorrected energy: -4.777 eV per atom
- SG: I4mm (107)


Ho6GaOs2 after structural relaxation, computed with PBE.

Cell lengths 8.3869, 8.3869, 8.3869 Å; angles 104.14, 112.15, 112.25 degrees
Closest atoms and distances in Å follow each position.
Sites, in units of the cell vectors:
Os 0.6740 0.0000 0.6740  8 Ho 2.79-2.96, 1 Ga 3.05
Os 0.3260 0.0000 0.3260  8 Ho 2.79-2.96, 1 Ga 3.05
Os 0.5000 0.3777 0.8777  1 Os 2.52, 2 Ho 2.79
Os 0.5000 0.6223 0.1223  1 Os 2.52, 2 Ho 2.79
Ho 0.9048 0.7241 0.1807  3 Os 2.92-2.97, 1 Ga 3.08
Ho 0.4566 0.2759 0.1807  3 Os 2.92-2.97, 1 Ga 3.08
Ho 0.3117 0.9792 0.6675  3 Os 2.79-2.96
Ho 0.7999 0.2449 0.0449  1 Os 2.79
Ho 0.7999 0.7551 0.5550  1 Os 2.79
Ho 0.0952 0.2759 0.8193  3 Os 2.92-2.97, 1 Ga 3.08
Ho 0.5434 0.7241 0.8193  3 Os 2.92-2.97, 1 Ga 3.08
Ho 0.2001 0.7551 0.9551  1 Os 2.79
Ho 0.3117 0.6442 0.3325  3 Os 2.79-2.96
Ho 0.2001 0.2449 0.4450  1 Os 2.79
Ho 0.6883 0.0208 0.3325  3 Os 2.79-2.96
Ho 0.6883 0.3558 0.6675  3 Os 2.79-2.96
Ga 0.0000 0.5000 0.5000  8 Ho 3.23-3.39
Ga 0.0000 0.0000 0.0000  2 Os 3.05, 8 Ho 3.08-3.14

Properties
- N(E_F): 16.145 states/eV per cell
- Total moment: 0.00 μB per formula unit
- Energy of formation from the pure elements: -3.0 eV per formula unit
- Uncorrected energy: -6.214 eV per atom
- SG: Immm (71)


HoGa3Os3 after structural relaxation, computed with PBE.

Cell lengths 6.7470, 6.7470, 6.7470 Å; angles 90.00, 90.00, 90.00 degrees
Closest atoms and distances in Å follow each position.
Sites, in units of the cell vectors:
Ga 0.2500 0.5000 0.0000  4 Os 2.39
Ga 0.0000 0.7500 0.5000  4 Os 2.39
Ga 0.0000 0.2500 0.5000  4 Os 2.39
Ga 0.7500 0.5000 0.0000  4 Os 2.39
Ga 0.5000 0.0000 0.2500  4 Os 2.39
Ga 0.5000 0.0000 0.7500  4 Os 2.39
Os 0.5000 0.2500 0.0000  4 Ga 2.39
Os 0.0000 0.5000 0.2500  4 Ga 2.39
Os 0.0000 0.5000 0.7500  4 Ga 2.39
Os 0.2500 0.0000 0.5000  4 Ga 2.39
Os 0.7500 0.0000 0.5000  4 Ga 2.39
Os 0.5000 0.7500 0.0000  4 Ga 2.39
Ho 0.0000 0.0000 0.0000  12 Os 3.77, 12 Ga 3.77
Ho 0.5000 0.5000 0.5000  12 Os 3.77, 12 Ga 3.77

Properties
- N(E_F): 16.712 states/eV per cell
- Total moment: 0.90 μB per formula unit
- Energy of formation from the pure elements: 5.8 eV per formula unit
- Uncorrected energy: -5.942 eV per atom
- SG: Pm-3n (223)


Ho3Ga7Os2 after structural relaxation, computed with PBE.

Cell lengths 3.9943, 3.9943, 14.9358 Å; angles 97.68, 97.68, 90.00 degrees
Closest atoms and distances in Å follow each position.
Sites, in units of the cell vectors:
Ga 0.2277 0.2277 0.4554  1 Os 2.50
Ga 0.5813 0.0813 0.1626  2 Os 2.68, 4 Ga 2.82
Ga 0.4187 0.9187 0.8374  2 Os 2.68, 4 Ga 2.82
Ga 0.9187 0.4187 0.8374  2 Os 2.68, 4 Ga 2.82
Ga 0.0000 0.0000 0.0000  4 Ho 2.82, 8 Ga 3.11
Ga 0.7723 0.7723 0.5446  1 Os 2.50
Ga 0.0813 0.5813 0.1626  2 Os 2.68, 4 Ga 2.82
Ho 0.5000 0.5000 0.0000  12 Ga 2.82-3.11
Ho 0.6658 0.6658 0.3316  4 Os 2.91, 5 Ga 3.12-3.18
Ho 0.3342 0.3342 0.6684  4 Os 2.91, 5 Ga 3.12-3.18
Os 0.8577 0.8577 0.7153  5 Ga 2.50-2.68
Os 0.1423 0.1423 0.2847  5 Ga 2.50-2.68

Properties
- N(E_F): 7.511 states/eV per cell
- Total moment: 0.00 μB per formula unit
- Energy of formation from the pure elements: -4.0 eV per formula unit
- Uncorrected energy: -5.118 eV per atom
- SG: I4/mmm (139)


Ho4Ga12Os after structural relaxation, computed with PBE.

Cell lengths 7.4472, 7.4472, 7.4472 Å; angles 109.47, 109.47, 109.47 degrees
Closest atoms and distances in Å follow each position.
Sites, in units of the cell vectors:
Ga 0.2500 0.5000 0.7500  8 Ga 2.80-3.04, 4 Ho 3.04
Ga 0.7500 0.2500 0.5000  8 Ga 2.80-3.04, 4 Ho 3.04
Ga 0.2919 0.2919 0.0000  1 Os 2.51, 4 Ga 2.80
Ga 0.7500 0.5000 0.2500  8 Ga 2.80-3.04, 4 Ho 3.04
Ga 0.2919 0.0000 0.2919  1 Os 2.51, 4 Ga 2.80
Ga 0.7081 0.7081 0.0000  1 Os 2.51, 4 Ga 2.80
Ga 0.0000 0.2919 0.2919  1 Os 2.51, 4 Ga 2.80
Ga 0.0000 0.7081 0.7081  1 Os 2.51, 4 Ga 2.80
Ga 0.5000 0.2500 0.7500  8 Ga 2.80-3.04, 4 Ho 3.04
Ga 0.5000 0.7500 0.2500  8 Ga 2.80-3.04, 4 Ho 3.04
Ga 0.2500 0.7500 0.5000  8 Ga 2.80-3.04, 4 Ho 3.04
Ga 0.7081 0.0000 0.7081  1 Os 2.51, 4 Ga 2.80
Ho 0.0000 0.5000 0.0000  12 Ga 3.04-3.06
Ho 0.5000 0.5000 0.5000  12 Ga 3.04-3.06
Ho 0.5000 0.0000 0.0000  12 Ga 3.04-3.06
Ho 0.0000 0.0000 0.5000  12 Ga 3.04-3.06
Os 0.0000 0.0000 0.0000  6 Ga 2.51

Properties
- N(E_F): 11.184 states/eV per cell
- Total moment: 0.00 μB per formula unit
- Energy of formation from the pure elements: -9.0 eV per formula unit
- Uncorrected energy: -4.405 eV per atom
- SG: Im-3m (229)


Ho2Ga8Os after structural relaxation, computed with PBE.

Cell lengths 4.2949, 4.2949, 11.2156 Å; angles 90.00, 90.00, 90.00 degrees
Closest atoms and distances in Å follow each position.
Sites, in units of the cell vectors:
Ga 0.5000 0.5000 0.6912  8 Ga 3.00-3.04, 4 Ho 3.04
Ga 0.5000 0.0000 0.8780  2 Os 2.55, 1 Ga 2.74
Ga 0.5000 0.0000 0.1220  2 Os 2.55, 1 Ga 2.74
Ga 0.5000 0.5000 0.3088  8 Ga 3.00-3.04, 4 Ho 3.04
Ga 0.0000 0.5000 0.8780  2 Os 2.55, 1 Ga 2.74
Ga 0.0000 0.5000 0.5000  8 Ga 3.04, 4 Ho 3.05
Ga 0.0000 0.5000 0.1220  2 Os 2.55, 1 Ga 2.74
Ga 0.5000 0.0000 0.5000  8 Ga 3.04, 4 Ho 3.05
Os 0.0000 0.0000 0.0000  8 Ga 2.55
Ho 0.0000 0.0000 0.6927  12 Ga 2.99-3.05
Ho 0.0000 0.0000 0.3073  12 Ga 2.99-3.05

Properties
- N(E_F): 4.216 states/eV per cell
- Total moment: 0.00 μB per formula unit
- Energy of formation from the pure elements: -4.8 eV per formula unit
- Uncorrected energy: -4.494 eV per atom
- SG: P4/mmm (123)


Ho5Ga2Os after structural relaxation, computed with PBE.

Cell lengths 7.2240, 7.2240, 9.0397 Å; angles 113.55, 113.55, 90.00 degrees
Closest atoms and distances in Å follow each position.
Sites, in units of the cell vectors:
Ga 0.8797 0.6203 0.0000  1 Ga 2.46
Ga 0.6203 0.1203 0.0000  1 Ga 2.46
Ga 0.1203 0.3797 0.0000  1 Ga 2.46
Ga 0.3797 0.8797 0.0000  1 Ga 2.46
Ho 0.5248 0.6703 0.6951  2 Os 3.03, 3 Ga 3.07-3.16, 1 Ho 3.27
Ho 0.6703 0.1703 0.6951  2 Os 3.03, 3 Ga 3.07-3.16, 1 Ho 3.27
Ho 0.1703 0.0248 0.6951  2 Os 3.03, 3 Ga 3.07-3.16, 1 Ho 3.27
Ho 0.3297 0.8297 0.3049  2 Os 3.03, 3 Ga 3.07-3.16, 1 Ho 3.27
Ho 0.5000 0.5000 0.0000  4 Ga 2.88
Ho 0.0000 0.0000 0.0000  4 Ga 2.88
Ho 0.9752 0.4752 0.3049  2 Os 3.03, 3 Ga 3.07-3.16, 1 Ho 3.27
Ho 0.0248 0.5248 0.6951  2 Os 3.03, 3 Ga 3.07-3.16, 1 Ho 3.27
Ho 0.4752 0.3297 0.3049  2 Os 3.03, 3 Ga 3.07-3.16, 1 Ho 3.27
Ho 0.8297 0.9752 0.3049  2 Os 3.03, 3 Ga 3.07-3.16, 1 Ho 3.27
Os 0.2500 0.2500 0.5000  8 Ho 3.03
Os 0.7500 0.7500 0.5000  8 Ho 3.03

Properties
- N(E_F): 13.961 states/eV per cell
- Total moment: 0.00 μB per formula unit
- Energy of formation from the pure elements: -3.2 eV per formula unit
- Uncorrected energy: -5.420 eV per atom
- SG: I4/mcm (140)


HoGa3Os after structural relaxation, computed with PBE.

Cell lengths 6.5617, 6.5617, 9.1357 Å; angles 90.00, 90.00, 67.39 degrees
Closest atoms and distances in Å follow each position.
Sites, in units of the cell vectors:
Os 0.5000 0.0000 0.0000  6 Ga 2.53-2.78
Os 0.0000 0.5000 0.5000  6 Ga 2.53-2.78
Os 0.5000 0.0000 0.5000  6 Ga 2.53-2.78
Os 0.0000 0.5000 0.0000  6 Ga 2.53-2.78
Ga 0.1042 0.1042 0.0828  2 Os 2.53, 5 Ga 2.71-2.73
Ga 0.6792 0.3208 0.0000  5 Ga 2.61-2.71, 2 Os 2.78
Ga 0.1042 0.1042 0.4172  2 Os 2.53, 5 Ga 2.71-2.73
Ga 0.6792 0.3208 0.5000  5 Ga 2.61-2.71, 2 Os 2.78
Ga 0.3208 0.6792 0.0000  5 Ga 2.61-2.71, 2 Os 2.78
Ga 0.1749 0.5596 0.7500  2 Os 2.65, 5 Ga 2.71-2.80, 1 Ho 2.91
Ga 0.8958 0.8958 0.9172  2 Os 2.53, 5 Ga 2.71-2.73
Ga 0.8251 0.4404 0.2500  2 Os 2.65, 5 Ga 2.71-2.80, 1 Ho 2.91
Ga 0.3208 0.6792 0.5000  5 Ga 2.61-2.71, 2 Os 2.78
Ga 0.4404 0.8251 0.2500  2 Os 2.65, 5 Ga 2.71-2.80, 1 Ho 2.91
Ga 0.8958 0.8958 0.5828  2 Os 2.53, 5 Ga 2.71-2.73
Ga 0.5596 0.1749 0.7500  2 Os 2.65, 5 Ga 2.71-2.80, 1 Ho 2.91
Ho 0.3486 0.3486 0.2500  10 Ga 3.07-3.40, 4 Os 3.11
Ho 0.6514 0.6514 0.7500  10 Ga 3.07-3.40, 4 Os 3.11
Ho 0.1339 0.1339 0.7500  6 Ga 2.91-3.06, 4 Os 3.18
Ho 0.8661 0.8661 0.2500  6 Ga 2.91-3.06, 4 Os 3.18

Properties
- N(E_F): 8.836 states/eV per cell
- Total moment: 0.00 μB per formula unit
- Energy of formation from the pure elements: -1.2 eV per formula unit
- Uncorrected energy: -5.214 eV per atom
- SG: Cmcm (63)
- Offset from the most stable computed form: 250 meV per atom


PmHoGaOs after structural relaxation, computed with PBE.

Cell lengths 4.9840, 4.9840, 4.9840 Å; angles 60.00, 60.00, 60.00 degrees
Closest atoms and distances in Å follow each position.
Sites, in units of the cell vectors:
Ho 0.0000 0.0000 0.0000  4 Os 3.05, 4 Ga 3.05
Ga 0.2500 0.2500 0.2500  4 Ho 3.05, 4 Pm 3.05
Pm 0.5000 0.5000 0.5000  4 Os 3.05, 4 Ga 3.05
Os 0.7500 0.7500 0.7500  4 Ho 3.05, 4 Pm 3.05

Properties
- N(E_F): 2.670 states/eV per cell
- Total moment: 0.00 μB per formula unit
- Energy of formation from the pure elements: -1.2 eV per formula unit
- Uncorrected energy: -6.185 eV per atom
- SG: F-43m (216)


HoGa4OsRh2 after structural relaxation, computed with PBE.

Cell lengths 4.2385, 4.2385, 8.8617 Å; angles 76.16, 76.16, 60.00 degrees
Closest atoms and distances in Å follow each position.
Sites, in units of the cell vectors:
Rh 0.7600 0.7600 0.7200  7 Ga 2.55-2.76
Rh 0.2400 0.2400 0.2800  7 Ga 2.55-2.76
Ho 0.0000 0.0000 0.0000  6 Ga 2.96
Os 0.5000 0.5000 0.5000  8 Ga 2.59-2.60
Ga 0.6013 0.6013 0.1961  3 Rh 2.55, 1 Os 2.59
Ga 0.1318 0.1318 0.6045  3 Os 2.60, 4 Rh 2.64-2.76
Ga 0.8682 0.8682 0.3955  3 Os 2.60, 4 Rh 2.64-2.76
Ga 0.3987 0.3987 0.8039  3 Rh 2.55, 1 Os 2.59

Properties
- N(E_F): 3.871 states/eV per cell
- Total moment: 0.00 μB per formula unit
- Energy of formation from the pure elements: -4.1 eV per formula unit
- Uncorrected energy: -5.836 eV per atom
- SG: R-3m (166)


HoGa4OsRu2 after structural relaxation, computed with PBE.

Cell lengths 4.2458, 4.2458, 8.8099 Å; angles 76.06, 76.06, 60.00 degrees
Closest atoms and distances in Å follow each position.
Sites, in units of the cell vectors:
Ru 0.7600 0.7600 0.7199  7 Ga 2.55-2.75
Ru 0.2400 0.2400 0.2801  7 Ga 2.55-2.75
Ga 0.1315 0.1315 0.6056  3 Os 2.61, 4 Ru 2.64-2.75
Ga 0.8685 0.8685 0.3944  3 Os 2.61, 4 Ru 2.64-2.75
Ga 0.6011 0.6011 0.1967  3 Ru 2.55, 1 Os 2.57
Ga 0.3989 0.3989 0.8033  3 Ru 2.55, 1 Os 2.57
Os 0.5000 0.5000 0.5000  8 Ga 2.57-2.61
Ho 0.0000 0.0000 0.0000  6 Ga 2.96

Properties
- N(E_F): 4.717 states/eV per cell
- Total moment: 0.00 μB per formula unit
- Energy of formation from the pure elements: -2.4 eV per formula unit
- Uncorrected energy: -6.108 eV per atom
- SG: R-3m (166)


HoScGaOs after structural relaxation, computed with PBE.

Cell lengths 4.7731, 4.7731, 4.7731 Å; angles 60.00, 60.00, 60.00 degrees
Closest atoms and distances in Å follow each position.
Sites, in units of the cell vectors:
Sc 0.0000 0.0000 0.0000  4 Os 2.92, 4 Ga 2.92
Os 0.7500 0.7500 0.7500  4 Ho 2.92, 4 Sc 2.92
Ga 0.2500 0.2500 0.2500  4 Sc 2.92, 4 Ho 2.92
Ho 0.5000 0.5000 0.5000  4 Os 2.92, 4 Ga 2.92

Properties
- N(E_F): 3.011 states/eV per cell
- Total moment: 0.00 μB per formula unit
- Energy of formation from the pure elements: -1.7 eV per formula unit
- Uncorrected energy: -6.710 eV per atom
- SG: F-43m (216)